# 1
SrZn2Au2 at its PBEsol-relaxed geometry. Source: Alexandria, functional meta-GGA SCAN.

```
5
Lattice="-2.111 2.111 5.824 2.111 -2.111 5.824 2.111 2.111 -5.824" Properties=species:S:1:pos:R:3 pbc="T T T"
Sr 0.000 0.000 0.000
Zn 2.111 0.000 2.912
Zn 0.000 2.111 2.912
Au 0.000 0.000 4.438
Au 0.000 0.000 7.211
```

Computed properties:
**Space group**: I4/mmm (139)
**Formation enthalpy at 0 K**: -638 meV per atom
**M_tot**: 0.000 μB per atom
**Raw total energy**: -190.81 eV/f.u.
**Calculated volume**: 103.79 Å³/cell

=====

# 2
SnSe2F at its PBEsol-relaxed geometry. Source: Alexandria, functional meta-GGA SCAN.

```
4
Lattice="1.504 0.868 9.369 -1.504 0.868 9.369 0.000 -1.736 9.369" Properties=species:S:1:pos:R:3 pbc="T T T"
Sn 0.000 0.000 0.000
Se 0.000 0.000 2.738
Se 0.000 0.000 25.370
F 0.000 0.000 14.054
```

Computed properties:
**Space group**: R-3m (166)
**M_tot**: 0.000 μB per atom
**Raw total energy**: -79.70 eV/f.u.
**ΔE_f (raw)**: -0.49 kcal/mol of atoms
**Calculated volume**: 73.37 Å³/cell

=====

# 3
RbTiPS2 at its PBEsol-relaxed geometry. Source: Alexandria, functional meta-GGA SCAN.

```
5
Lattice="4.778 0.000 0.000 0.000 4.778 0.000 0.000 0.000 4.776" Properties=species:S:1:pos:R:3 pbc="T T T"
Rb 0.000 0.000 0.000
Ti 2.389 2.389 2.388
P 2.389 2.389 0.000
S 0.000 2.389 2.388
S 2.389 0.000 2.388
```

Computed properties:
**Space group**: P4/mmm (123)
**M_tot**: 0.001 μB per atom
**Raw total energy**: -70.34 eV/f.u.
**ΔE_f (raw)**: -18.04 kcal/mol of atoms
**Calculated volume**: 109.02 Å³/cell

=====

# 4
Hf5Si3N at its PBEsol-relaxed geometry. Source: Alexandria, functional meta-GGA SCAN.

```
18
Lattice="7.758 0.000 0.000 -3.879 6.718 0.000 0.000 0.000 5.479" Properties=species:S:1:pos:R:3 pbc="T T T"
Hf -0.909 1.575 1.370
Hf -2.970 5.143 4.109
Hf 1.818 0.000 1.370
Hf 0.909 1.575 4.109
Hf 0.000 4.479 0.000
Hf 0.000 4.479 2.739
Hf 3.879 2.239 0.000
Hf 3.879 2.239 2.739
Hf 5.939 0.000 4.109
Hf 2.970 5.143 1.370
Si -1.572 2.723 4.109
Si -2.307 3.995 1.370
Si 3.145 0.000 4.109
Si 1.572 2.723 1.370
Si 4.613 0.000 1.370
Si 2.307 3.995 4.109
N 0.000 0.000 0.000
N 0.000 0.000 2.739
```

Computed properties:
**Space group**: P6_3/mcm (193)
**M_tot**: 0.000 μB per atom
**Raw total energy**: -362.53 eV/f.u.
**ΔE_f (raw)**: -25.18 kcal/mol of atoms
**Calculated volume**: 285.55 Å³/cell